Entry 1:
Entry from the Alexandria database: crystalline GeRh3F at its relaxed geometry (PBE).

Lattice parameters (Å, degrees): 4.281 4.281 4.281 90.00 90.00 90.00
Last column: magnetic moment on the atom in μB.
Atoms (fractional coordinates):
Ge1 0.500 0.500 0.500  0.00
Rh1 0.000 0.500 0.000  1.08
Rh2 0.000 0.000 0.500  0.85
Rh3 0.500 0.000 0.000  0.99
F1 0.000 0.000 0.000  0.15

For the total energy, the calculation gives -5.13 eV/atom. As for the space group: No. 221. As for the volume: 15.7 Å³/atom. As for the offset from the most stable computed form: 0.0 meV/atom. The value obtained for the density of states at the Fermi level is 4.95 states/eV/cell. As for the crystal system: cubic.

=====

Entry 2:
Entry from the Alexandria database: crystalline LiAc2Hg2Pd4 at its relaxed geometry (PBE).

Lattice parameters (Å, degrees): 6.496 6.496 6.496 95.11 117.09 117.09
Atoms (fractional coordinates):
Li1 0.000 0.000 0.000
Ac1 0.500 0.750 0.250
Ac2 0.500 0.250 0.750
Hg1 0.000 0.709 0.709
Hg2 0.000 0.291 0.291
Pd1 0.000 0.732 0.268
Pd2 0.464 0.732 0.732
Pd3 0.000 0.268 0.732
Pd4 0.536 0.268 0.268

For the total energy, the calculation gives -4.01 eV/atom. As for the space group: No. 139. As for the volume: 22.4 Å³/atom. For the formation energy, the calculation gives -4.57 eV/f.u. The value obtained for the density of states at the Fermi level is 7.08 states/eV/cell. As for the crystal system: tetragonal.